Compound: Sc2TaHg
Source: Alexandria
Functional: PBE
Structure: optimized geometry

## Properties
Its formation enthalpy at 0 K is 0.070 eV per atom. The volume comes out at 82.5 Å³ per cell. The calculated total energy comes out at -24.54 eV per cell. The calculation puts the magnetic moment at 0.11 μB per formula unit. The space group is I-4m2.

a = 5.522 Å, b = 5.522 Å, c = 5.522 Å
α = 135.17°, β = 135.17°, γ = 65.27°
Positions (direct):
Sc1 0.000 0.000 0.000
Sc2 0.750 0.250 0.500
Ta1 0.250 0.750 0.500
Hg1 0.500 0.500 0.000